Below is a geometry-optimized HgOs structure, with properties calculated at the PBE-GGA level.

Lattice parameters (Å, degrees): 4.300 4.300 7.069 90.00 90.00 120.00
Fractional positions:
Hg (0.333, 0.667, 0.000)
Hg (0.667, 0.333, 0.500)
Os (0.333, 0.667, 0.372)
Os (0.667, 0.333, 0.872)

Values from the calculation:
- Energy relative to the lowest polymorph listed for this composition: 2089 meV per atom
- Energy of formation from the pure elements: 2.4896 eV/atom
- Space group: No. 186
- N(E_F): 0.55 states/eV per atom